[1]
7
Lattice="1.4204 0.8201 17.8449 -1.4204 0.8201 17.8449 0.0000 -1.6402 17.8449" Properties=species:S:1:pos:R:3 comment="AlZn2Ga4, optimized geometry, DFT PBE-GGA" n_ef_per_ev_fu=2.5 spacegroup="R-3m, No. 166" de_polymorph_mev_per_atom=0 pbc="T T T"
Al 0.0000 0.0000 0.0000
Zn 0.0000 0.0000 12.8100
Zn 0.0000 0.0000 40.7248
Ga 0.0000 0.0000 7.6025
Ga 0.0000 0.0000 15.4740
Ga 0.0000 0.0000 38.0608
Ga 0.0000 0.0000 45.9323



[2]
12
Lattice="4.0495 0.0000 0.0000 0.0000 4.0495 0.0000 0.0000 0.0000 12.0026" Properties=species:S:1:pos:R:3 comment="Al9Zn2Ga, optimized geometry, DFT PBE-GGA" n_ef_per_ev_fu=5.1 e_tot_ev_per_cell=-38.91 spacegroup="P4/mmm, No. 123" pbc="T T T"
Al 0.0000 0.0000 0.0000
Al 0.0000 0.0000 4.0129
Al 0.0000 0.0000 7.9897
Al 0.0000 2.0248 2.0206
Al 0.0000 2.0248 6.0013
Al 0.0000 2.0248 9.9821
Al 2.0248 0.0000 2.0206
Al 2.0248 0.0000 6.0013
Al 2.0248 0.0000 9.9821
Zn 2.0248 2.0248 3.9956
Zn 2.0248 2.0248 8.0071
Ga 2.0248 2.0248 0.0000



[3]
5
Lattice="4.7610 0.0000 0.0000 0.0000 4.7610 0.0000 0.0000 0.0000 4.7610" Properties=species:S:1:pos:R:3 comment="Al3ZnGa, optimized geometry, DFT PBE-GGA" n_ef_per_ev_fu=3.1 spacegroup="Pm-3m, No. 221" de_polymorph_mev_per_atom=443 pbc="T T T"
Al 0.0000 0.0000 2.3805
Al 0.0000 2.3805 0.0000
Al 2.3805 0.0000 0.0000
Zn 0.0000 0.0000 0.0000
Ga 2.3805 2.3805 2.3805



[4]
19
Lattice="5.8688 3.3884 2.7570 -5.8688 3.3884 2.7570 0.0000 -6.7767 2.7570" Properties=species:S:1:pos:R:3 comment="Al6Zn12Ga, optimized geometry, DFT PBE-GGA" n_ef_per_ev_fu=5.5 e_tot_ev_per_cell=-38.89 spacegroup="R-3m, No. 166" pbc="T T T"
Al -2.2700 -1.3106 4.6248
Al 0.0000 -2.6212 3.6463
Al -2.2701 1.3106 3.6463
Al 2.2700 -1.3106 4.6248
Al 0.0000 2.6212 4.6248
Al 2.2700 1.3106 3.6463
Zn -1.4120 -0.8152 2.1050
Zn -2.2824 -3.9533 4.1356
Zn -4.5648 0.0000 4.1356
Zn 1.4120 -0.8152 2.1050
Zn 0.0000 1.6304 2.1050
Zn 2.2824 -3.9533 4.1356
Zn -2.2824 3.9533 4.1356
Zn 0.0000 -1.6305 6.1661
Zn -1.4120 0.8152 6.1661
Zn 4.5648 0.0000 4.1356
Zn 2.2824 3.9533 4.1356
Zn 1.4120 0.8152 6.1661
Ga 0.0000 0.0000 0.0000



[5]
10
Lattice="8.6482 -2.1820 0.0000 8.6482 2.1820 0.0000 -1.1800 0.0000 4.9698" Properties=species:S:1:pos:R:3 comment="Al3ZnGa, optimized geometry, DFT PBE-GGA" n_ef_per_ev_fu=1.6 spacegroup="C2/m, No. 12" de_polymorph_mev_per_atom=51 pbc="T T T"
Al 1.6742 0.0000 1.6293
Al 2.5997 0.0000 4.3141
Al 6.5231 0.0000 0.0865
Al 9.5934 0.0000 4.8833
Al 13.5167 0.0000 0.6558
Al 14.4422 0.0000 3.3405
Zn 4.6347 0.0000 2.3537
Zn 11.4817 0.0000 2.6162
Ga -0.2072 0.0000 3.8307
Ga 16.3236 0.0000 1.1391



[6]
20
Lattice="-4.7010 4.7010 4.7010 4.7010 -4.7010 4.7010 4.7010 4.7010 -4.7010" Properties=species:S:1:pos:R:3 comment="Al7Zn12Ga, optimized geometry, DFT PBE-GGA" n_ef_per_ev_fu=10.6 e_tot_ev_per_cell=-37.58 spacegroup="Im-3, No. 204" pbc="T T T"
Al 2.3505 2.3505 -2.3505
Al 2.3505 -2.3505 2.3505
Al 4.7010 0.0000 0.0000
Al -2.3505 2.3505 2.3505
Al 0.0000 4.7010 0.0000
Al 0.0000 0.0000 4.7010
Al 2.3505 2.3505 2.3505
Zn 4.7010 3.3430 -2.2493
Zn 2.4516 0.0000 1.3580
Zn 6.9503 0.0000 1.3580
Zn 1.3580 2.4516 0.0000
Zn 3.3430 -2.2493 4.7010
Zn 0.0000 1.3580 2.4516
Zn 4.7010 3.3430 2.2493
Zn 1.3580 6.9503 0.0000
Zn 3.3430 2.2493 4.7010
Zn -2.2493 4.7010 3.3430
Zn 2.2493 4.7010 3.3430
Zn 0.0000 1.3580 6.9503
Ga 0.0000 0.0000 0.0000



[7]
8
Lattice="4.2717 0.0000 0.0000 0.0000 2.9484 5.8852 0.0000 -2.9484 5.8852" Properties=species:S:1:pos:R:3 comment="AlZnGa6, optimized geometry, DFT PBE-GGA" n_ef_per_ev_fu=3.1 spacegroup="Amm2, No. 38" de_polymorph_mev_per_atom=0 pbc="T T T"
Al 0.0000 0.0000 0.0000
Zn 0.0000 0.0000 6.1761
Ga 0.0000 -1.4160 3.0436
Ga 0.0000 1.4160 3.0436
Ga 2.1359 -1.5125 7.0689
Ga 2.1359 0.0000 4.4022
Ga 2.1359 0.0000 9.9822
Ga 2.1359 1.5125 7.0689



[8]
11
Lattice="10.7578 -1.4233 0.0000 10.7578 1.4233 0.0000 -1.1086 0.0000 6.5228" Properties=species:S:1:pos:R:3 comment="Al5Zn4Ga2, optimized geometry, DFT PBE-GGA" n_ef_per_ev_fu=3.5 e_tot_ev_per_cell=-28.41 spacegroup="C2/m, No. 12" pbc="T T T"
Al 0.0000 0.0000 0.0000
Al 5.3855 0.0000 4.3092
Al 7.9781 0.0000 0.0245
Al 12.4289 0.0000 6.4983
Al 15.0215 0.0000 2.2135
Zn 8.1923 0.0000 4.2991
Zn 9.6324 0.0000 2.0979
Zn 10.7745 0.0000 4.4249
Zn 12.2147 0.0000 2.2237
Ga 2.6239 0.0000 4.3338
Ga 17.7831 0.0000 2.1889



[9]
14
Lattice="4.4083 -4.7439 0.0000 4.4083 4.7439 0.0000 -2.5593 0.0000 5.6608" Properties=species:S:1:pos:R:3 comment="AlZn5Ga, optimized geometry, DFT PBE-GGA" n_ef_per_ev_fu=1.4 e_tot_ev_per_cell=-24.78 spacegroup="C2/c, No. 15" pbc="T T T"
Al 2.2041 2.3719 0.0000
Al 0.9245 -2.3719 2.8304
Zn 3.7685 3.8839 1.4152
Zn 0.6534 0.4971 3.5604
Zn 1.9330 -0.4971 0.7300
Zn 2.9077 1.2499 2.4107
Zn 4.6292 1.2499 0.4197
Zn 1.6280 -1.2499 5.2410
Zn 3.3496 -1.2499 3.2501
Zn 4.3243 0.4971 4.9308
Zn 5.6039 -0.4971 2.1004
Zn 2.4888 -3.8839 4.2456
Ga 2.4888 3.0170 4.2456
Ga 3.7685 -3.0170 1.4152



[10]
17
Lattice="5.6224 0.0000 0.0000 0.7834 7.8280 0.0000 1.4846 3.7935 6.9937" Properties=species:S:1:pos:R:3 comment="Al6ZnGa10, optimized geometry, DFT PBE-GGA" n_ef_per_ev_fu=4.5 e_tot_ev_per_cell=-53.09 spacegroup="P-1, No. 2" pbc="T T T"
Al 0.6676 2.5458 2.3150
Al 3.0766 10.5046 6.7085
Al 2.9278 6.4705 4.4691
Al 4.9626 5.1510 2.5246
Al 4.8138 1.1169 0.2852
Al 7.2227 9.0757 4.6787
Zn 0.3917 3.9140 0.0000
Ga 1.3162 4.1493 4.5066
Ga 2.1930 4.9813 1.7727
Ga 2.0228 1.6597 0.0738
Ga 3.7310 7.7170 2.1205
Ga 4.3413 8.9586 4.6673
Ga 3.5490 2.6629 2.3264
Ga 4.1593 3.9045 4.8732
Ga 5.8675 9.9618 6.9200
Ga 5.6973 6.6402 5.2210
Ga 6.5741 7.4723 2.4871



[11]
12
Lattice="2.8369 -7.5937 0.0000 2.8369 7.5937 0.0000 -2.6683 0.0000 5.0543" Properties=species:S:1:pos:R:3 comment="AlZnGa4, optimized geometry, DFT PBE-GGA" n_ef_per_ev_fu=1.8 spacegroup="C2/c, No. 15" de_polymorph_mev_per_atom=0 pbc="T T T"
Al 0.8356 5.6964 3.7907
Al 2.1698 -5.6964 1.2636
Zn 2.1698 1.8982 1.2636
Zn 0.8356 -1.8982 3.7907
Ga -0.5928 3.2923 3.7880
Ga -0.5718 0.5044 3.7812
Ga 0.7624 -0.5044 1.2540
Ga 0.7413 -3.2923 1.2608
Ga 2.2641 3.2923 3.7935
Ga 2.2430 0.5044 3.8003
Ga 3.5772 -0.5044 1.2731
Ga 3.5982 -3.2923 1.2664